The following is a PBE calculation of Zr12TiSn6 after structural relaxation, from Alexandria via LeMat-Bulk.

```
Zr12TiSn6
1.0
5.3640 3.0969 4.2952
-5.3640 3.0969 4.2952
0.0000 -6.1938 4.2952
Zr Ti Sn
12 1 6
direct
0.0216 0.9411 0.3032
0.0589 0.6968 0.9784
0.1260 0.4448 0.3571
0.3032 0.0216 0.9411
0.3571 0.1260 0.4448
0.4448 0.3571 0.1260
0.5552 0.6429 0.8740
0.6429 0.8740 0.5552
0.6968 0.9784 0.0589
0.8740 0.5552 0.6429
0.9411 0.3032 0.0216
0.9784 0.0589 0.6968
0.5000 0.5000 0.5000
0.2270 0.3770 0.7588
0.2412 0.7730 0.6230
0.3770 0.7588 0.2270
0.6230 0.2412 0.7730
0.7588 0.2270 0.3770
0.7730 0.6230 0.2412
```

## Properties
DFT total energy = -140.005 eV for the cell shown
energy relative to the elements = -290.3 meV/atom
space group = No. 148